(1)
A plane-wave DFT calculation with PBE was carried out for an optimized crystal structure of MnPH2.

The calculation puts the offset from the most stable computed form at 263 meV per atom.

It has space group Fmm2 (No. 42), with a = 4.339 Å, b = 4.456 Å, c = 6.589 Å, α = 90.00°, β = 90.00° and γ = 90.00°. The distinct sites, in fractional coordinates, are Mn at (0.000, 0.000, 0.000), P at (0.000, 0.000, 0.631) and H at (0.000, 0.112, 0.230).

=====

(2)
A plane-wave DFT calculation with PBE was carried out for an optimized crystal structure of LiZnSb.

The formation energy from raw total energies is -104 meV per atom.

It has space group Fmm2 (No. 42), with a = 4.243 Å, b = 4.638 Å, c = 12.658 Å, α = 90.00°, β = 90.00° and γ = 90.00°. The distinct sites, in fractional coordinates, are Li at (0.000, 0.000, 0.000), Zn at (0.000, 0.000, 0.644) and Sb at (0.000, 0.000, 0.325).

=====

(3)
A plane-wave DFT calculation with PBE was carried out for an optimized crystal structure of Ac14NdHo.

Its calculated total energy is -4.153 eV/atom.

It has space group Amm2 (No. 38), with a = 11.217 Å, b = 11.153 Å, c = 11.151 Å, α = 90.00°, β = 90.00° and γ = 90.00°. The distinct sites, in fractional coordinates, are Ac at (0.000, 0.000, 0.000), Ac at (0.000, 0.000, 0.500), Ac at (0.000, 0.249, 0.250), Ac at (0.255, 0.000, 0.749), Ac at (0.256, 0.249, 0.500), Ac at (0.257, 0.000, 0.251), Ac at (0.500, 0.249, 0.750), Nd at (0.500, 0.000, 0.000) and Ho at (0.500, 0.000, 0.500).

=====

(4)
A plane-wave DFT calculation with PBE was carried out for an optimized crystal structure of KLa2Pm3Se6.

The formation energy from raw total energies is -1848 meV per atom.

It has space group C2/m (No. 12), with a = 18.757 Å, b = 4.247 Å, c = 8.676 Å, α = 90.00°, β = 103.93° and γ = 90.00°. The distinct sites, in fractional coordinates, are K at (0.000, 0.000, 0.000), La at (0.168, 0.500, 0.338), Pm at (0.000, 0.000, 0.500), Pm at (0.164, 0.500, 0.824), Se at (0.000, 0.500, 0.264), Se at (0.164, 0.000, 0.586) and Se at (0.172, 0.000, 0.078).

=====

(5)
A plane-wave DFT calculation with PBE was carried out for an optimized crystal structure of La3SnN.

The formation energy from raw total energies is -814 meV per atom.

It has space group C2/m (No. 12), with a = 16.239 Å, b = 3.709 Å, c = 11.791 Å, α = 90.00°, β = 126.26° and γ = 90.00°. The distinct sites, in fractional coordinates, are La at (0.061, 0.000, 0.207), La at (0.171, 0.500, 0.536), La at (0.206, 0.500, 0.120), Sn at (0.088, 0.500, 0.748) and N at (0.198, 0.500, 0.332).

=====

(6)
A plane-wave DFT calculation with PBE was carried out for an optimized crystal structure of La2YHo3Tm6.

Its calculated total energy is -4.712 eV/atom.

It has space group C2/m (No. 12), with a = 6.153 Å, b = 10.651 Å, c = 11.716 Å, α = 90.00°, β = 100.05° and γ = 90.00°. The distinct sites, in fractional coordinates, are La at (0.000, 0.166, 0.000), Y at (0.000, 0.500, 0.000), Ho at (0.000, 0.000, 0.500), Ho at (0.000, 0.333, 0.500), Tm at (0.247, 0.500, 0.745) and Tm at (0.248, 0.166, 0.745).

=====

(7)
A plane-wave DFT calculation with PBE was carried out for an optimized crystal structure of ScGe2Pt4.

Its calculated total energy is -6.369 eV/atom.

It has space group Pnma (No. 62), with a = 16.133 Å, b = 4.137 Å, c = 7.127 Å, α = 90.00°, β = 90.00° and γ = 90.00°. The distinct sites, in fractional coordinates, are Sc at (0.147, 0.250, 0.069), Ge at (0.023, 0.750, 0.248), Ge at (0.193, 0.250, 0.628), Pt at (0.047, 0.750, 0.906), Pt at (0.057, 0.250, 0.441), Pt at (0.174, 0.750, 0.388) and Pt at (0.214, 0.750, 0.828).

=====

(8)
A plane-wave DFT calculation with PBE was carried out for an optimized crystal structure of BaGa2TcAg.

The calculation puts the offset from the most stable computed form at 360 meV per atom.

It has space group P4/mmm (No. 123), with a = 4.910 Å, b = 4.910 Å, c = 5.704 Å, α = 90.00°, β = 90.00° and γ = 90.00°. The distinct sites, in fractional coordinates, are Ba at (0.000, 0.000, 0.000), Ga at (0.000, 0.500, 0.500), Tc at (0.000, 0.000, 0.500) and Ag at (0.500, 0.500, 0.000).

=====

(9)
A plane-wave DFT calculation with PBE was carried out for an optimized crystal structure of ZnNiAu2.

Its calculated total energy is -3.472 eV/atom.

It has space group P2/m (No. 10), with a = 2.928 Å, b = 3.615 Å, c = 5.776 Å, α = 90.00°, β = 90.27° and γ = 90.00°. The distinct sites, in fractional coordinates, are Zn at (0.000, 0.000, 0.000), Ni at (0.000, 0.000, 0.500) and Au at (0.500, 0.500, 0.255).

=====

(10)
A plane-wave DFT calculation with PBE was carried out for an optimized crystal structure of Li4Mg9Pb11.

Its calculated total energy is -2.719 eV/atom.

It has space group Cmmm (No. 65), with a = 14.870 Å, b = 22.898 Å, c = 3.516 Å, α = 90.00°, β = 90.00° and γ = 90.00°. The distinct sites, in fractional coordinates, are Li at (0.151, 0.100, 0.000), Mg at (0.000, 0.000, 0.000), Mg at (0.106, 0.235, 0.000), Mg at (0.143, 0.429, 0.000), Pb at (0.000, 0.136, 0.500), Pb at (0.000, 0.339, 0.500), Pb at (0.000, 0.500, 0.500), Pb at (0.200, 0.000, 0.500) and Pb at (0.229, 0.324, 0.500).

=====

no.,mass density (g/cm³)
1,4.584
2,5.176
3,8.301
4,6.068
5,6.372
6,8.237
7,13.552
8,5.828
9,14.070
10,7.006